Here is an optimized crystal structure of CaNdCdSi from Alexandria. Energies are from PBE-GGA.

Cell: 5.247 5.247 5.247 Å, 60.00 60.00 60.00°
Fractional positions:
Si 0.250 0.250 0.250
Nd 0.000 0.000 0.000
Ca 0.500 0.500 0.500
Cd 0.750 0.750 0.750

Results
Raw formation energy: -0.3487 eV per atom
Magnetization: 0.00 μB/atom
Electronic total energy: -14.50 eV per formula unit



Here is an optimized crystal structure of CaNdSmCd from Alexandria. Energies are from PBE-GGA.

Cell: 5.615 5.615 5.615 Å, 60.00 60.00 60.00°
Fractional positions:
Cd 0.250 0.250 0.250
Ca 0.750 0.750 0.750
Nd 0.000 0.000 0.000
Sm 0.500 0.500 0.500

Results
Energy relative to the elements: -0.2 eV per formula unit
Magnetization: 0.00 μB/atom
Electronic total energy: -12.58 eV per formula unit



Here is an optimized crystal structure of CaNdSmCd from Alexandria. Energies are from PBE-GGA.

Cell: 3.677 3.677 9.576 Å, 90.00 90.00 90.00°
Fractional positions:
Nd 0.000 0.000 0.088
Cd 0.000 0.000 0.565
Sm 0.500 0.500 0.350
Ca 0.500 0.500 0.782

Results
Energy relative to the elements: -0.6 eV per formula unit
Magnetization: 0.00 μB/atom
Electronic total energy: -12.98 eV per formula unit



Here is an optimized crystal structure of CaNdCdSn from Alexandria. Energies are from PBE-GGA.

Cell: 4.193 5.131 5.316 Å, 90.00 90.00 90.00°
Fractional positions:
Ca 0.500 0.500 0.000
Sn 0.000 0.500 0.500
Nd 0.500 0.000 0.500
Cd 0.000 0.000 0.000

Results
Energy relative to the elements: -2.1 eV per formula unit
Magnetization: 0.00 μB/atom
Electronic total energy: -13.83 eV per formula unit



Here is an optimized crystal structure of CaNdCdSn from Alexandria. Energies are from PBE-GGA.

Cell: 5.436 5.436 5.436 Å, 60.00 60.00 60.00°
Fractional positions:
Ca 0.500 0.500 0.500
Sn 0.750 0.750 0.750
Nd 0.000 0.000 0.000
Cd 0.250 0.250 0.250

Results
Energy relative to the elements: -2.1 eV per formula unit
Magnetization: 0.00 μB/atom
Electronic total energy: -13.77 eV per formula unit



Here is an optimized crystal structure of Ca2NdCd2Sn2 from Alexandria. Energies are from PBE-GGA.

Cell: 5.035 5.035 9.300 Å, 74.29 74.29 60.00°
Fractional positions:
Cd 0.427 0.427 0.718
Cd 0.573 0.573 0.282
Sn 0.265 0.265 0.205
Sn 0.735 0.735 0.795
Ca 0.135 0.135 0.594
Ca 0.865 0.865 0.406
Nd 0.000 0.000 0.000

Results
Energy relative to the elements: -2.8 eV per formula unit
Magnetization: 0.00 μB/atom
Electronic total energy: -21.39 eV per formula unit



The lowest electronic total energy belongs to which entry? Ca2NdCd2Sn2